one | First-principles (PBE) data for NpPaIrPd after structural relaxation, as listed in Alexandria via LeMat-Bulk.

Calculated values
**Density**: 17224 kg/m³
**Space-group type**: F-43m

Cell and atoms, written as CIF:
```
data_NpPaIrPd
_symmetry_space_group_name_H-M 'P 1'
_symmetry_Int_Tables_number 1
_cell_length_a 4.7107
_cell_length_b 4.7107
_cell_length_c 4.7107
_cell_angle_alpha 60.00
_cell_angle_beta 60.00
_cell_angle_gamma 60.00
loop_
_symmetry_equiv_pos_as_xyz
'x,y,z'
loop_
_atom_site_label
_atom_site_type_symbol
_atom_site_fract_x
_atom_site_fract_y
_atom_site_fract_z
Np1 Np 0.0000 0.0000 0.0000
Pa1 Pa 0.7500 0.7500 0.7500
Ir1 Ir 0.5000 0.5000 0.5000
Pd1 Pd 0.2500 0.2500 0.2500
```

two | First-principles (PBE) data for NpPaIrPd after structural relaxation, as listed in Alexandria via LeMat-Bulk.

Calculated values
**Density**: 15231 kg/m³
**Space-group type**: F-43m

Cell and atoms, written as CIF:
```
data_NpPaIrPd
_symmetry_space_group_name_H-M 'P 1'
_symmetry_Int_Tables_number 1
_cell_length_a 4.9078
_cell_length_b 4.9078
_cell_length_c 4.9078
_cell_angle_alpha 60.00
_cell_angle_beta 60.00
_cell_angle_gamma 60.00
loop_
_symmetry_equiv_pos_as_xyz
'x,y,z'
loop_
_atom_site_label
_atom_site_type_symbol
_atom_site_fract_x
_atom_site_fract_y
_atom_site_fract_z
Np1 Np 0.0000 0.0000 0.0000
Pa1 Pa 0.5000 0.5000 0.5000
Ir1 Ir 0.2500 0.2500 0.2500
Pd1 Pd 0.7500 0.7500 0.7500
```

Pick the most stable structure from those above. Pick: one